Here is crystalline TiCrSbO2 at its relaxed geometry from Alexandria. Energies are from GGA+U.

Lattice parameters (Å, degrees): 3.8429 6.0068 3.8429 90.00 90.00 90.00
With the nearest neighbours (Å) after each atom.
Sites, in units of the cell vectors:
Sb: 0.0000 0.5000 0.0000  4 Cr 2.72, 2 Ti 3.00
Ti: 0.0000 0.0000 0.0000  4 O 1.92
O: 0.0000 0.0000 0.5000  2 Ti 1.92
O: 0.5000 0.0000 0.0000  2 Ti 1.92
Cr: 0.5000 0.5000 0.5000  4 Sb 2.72

Summary:
The value obtained for the final energy is -35.25 eV for the cell shown. The space-group type is P4/mmm, No. 123. For the magnetic moment, the calculation gives 3.46 μB/f.u.


Here is crystalline TiCrSbO6 at its relaxed geometry from Alexandria. Energies are from GGA+U.

Lattice parameters (Å, degrees): 5.1094 5.1094 8.8001 90.00 90.00 120.00
With the nearest neighbours (Å) after each atom.
Sites, in units of the cell vectors:
Ti: 0.6667 0.3333 0.2500  6 O 1.98
Ti: 0.3333 0.6667 0.7500  6 O 1.98
Cr: 0.0000 0.0000 0.0000  6 O 2.07
Cr: 0.0000 0.0000 0.5000  6 O 2.07
Sb: 0.3333 0.6667 0.2500  6 O 2.01
Sb: 0.6667 0.3333 0.7500  6 O 2.01
O: 0.6625 0.6577 0.1289  1 Ti 1.98, 1 Sb 2.01, 1 Cr 2.07
O: 0.9952 0.3375 0.1289  1 Ti 1.98, 1 Sb 2.01, 1 Cr 2.07
O: 0.3375 0.9952 0.6289  1 Ti 1.98, 1 Sb 2.01, 1 Cr 2.07
O: 0.0048 0.6625 0.8711  1 Ti 1.98, 1 Sb 2.01, 1 Cr 2.07
O: 0.3423 0.3375 0.3711  1 Ti 1.98, 1 Sb 2.01, 1 Cr 2.07
O: 0.9952 0.6577 0.3711  1 Ti 1.98, 1 Sb 2.01, 1 Cr 2.07
O: 0.6577 0.9952 0.8711  1 Ti 1.98, 1 Sb 2.01, 1 Cr 2.07
O: 0.6625 0.0048 0.3711  1 Ti 1.98, 1 Sb 2.01, 1 Cr 2.07
O: 0.0048 0.3423 0.6289  1 Ti 1.98, 1 Sb 2.01, 1 Cr 2.07
O: 0.3423 0.0048 0.1289  1 Ti 1.98, 1 Sb 2.01, 1 Cr 2.07
O: 0.6577 0.6625 0.6289  1 Ti 1.98, 1 Sb 2.01, 1 Cr 2.07
O: 0.3375 0.3423 0.8711  1 Ti 1.98, 1 Sb 2.01, 1 Cr 2.07

Summary:
The value obtained for the final energy is -134.57 eV for the cell shown. The space-group type is P-31c, No. 163. For the magnetic moment, the calculation gives 3.00 μB/f.u.


Here is crystalline Ti2Cr3Sb3O16 at its relaxed geometry from Alexandria. Energies are from GGA+U.

Lattice parameters (Å, degrees): 6.1071 6.1071 9.1156 89.54 89.54 60.04
With the nearest neighbours (Å) after each atom.
Sites, in units of the cell vectors:
Ti: 0.3514 0.3514 0.4766  5 O 1.83-2.00
Ti: 0.6793 0.6793 0.0056  3 O 1.81-1.95
Cr: 0.6647 0.1692 0.2088  6 O 2.01-2.08
Cr: 0.1692 0.6647 0.2088  6 O 2.01-2.08
Cr: 0.8261 0.8261 0.7089  6 O 2.01-2.07
Sb: 0.1690 0.1690 0.2105  6 O 1.98-2.05
Sb: 0.3306 0.8271 0.7135  6 O 2.00-2.05
Sb: 0.8271 0.3306 0.7135  6 O 2.00-2.05
O: 0.6622 0.1705 0.6004  1 Ti 2.00, 1 Sb 2.01, 1 Cr 2.07
O: 0.4785 0.4785 0.3389  1 Ti 1.83, 2 Cr 2.03
O: 0.3333 0.3333 0.1004  1 Sb 2.00, 2 Cr 2.02
O: 0.0017 0.0017 0.3097  1 Sb 1.98, 2 Cr 2.01
O: 0.9930 0.9930 0.8205  2 Sb 2.03, 1 Cr 2.04
O: 0.1705 0.6622 0.6004  1 Ti 2.00, 1 Sb 2.01, 1 Cr 2.07
O: 0.4765 0.0530 0.3440  1 Ti 2.00, 1 Cr 2.03, 1 Sb 2.05
O: 0.0530 0.4765 0.3440  1 Ti 2.00, 1 Cr 2.03, 1 Sb 2.05
O: 0.8298 0.8298 0.0984  1 Ti 1.81
O: 0.1623 0.1623 0.6031  2 Sb 2.04
O: 0.9453 0.5202 0.8379  1 Sb 2.00, 1 Cr 2.01, 1 Ti 2.08
O: 0.5202 0.9453 0.8379  1 Sb 2.00, 1 Cr 2.01, 1 Ti 2.08
O: 0.6613 0.6613 0.5945  1 Cr 2.04, 2 Sb 2.05
O: 0.8341 0.3466 0.0987  1 Ti 1.95, 1 Sb 2.05, 1 Cr 2.08
O: 0.5146 0.5146 0.8418  2 Sb 2.03
O: 0.3466 0.8341 0.0987  1 Ti 1.95, 1 Sb 2.05, 1 Cr 2.08

Summary:
The value obtained for the final energy is -175.43 eV for the cell shown. The space-group type is Cm, No. 8. For the magnetic moment, the calculation gives 9.00 μB/f.u.


Here is crystalline TiCrSbO6 at its relaxed geometry from Alexandria. Energies are from GGA+U.

Lattice parameters (Å, degrees): 4.6729 4.6729 9.1806 90.00 90.00 90.00
With the nearest neighbours (Å) after each atom.
Sites, in units of the cell vectors:
Ti: 0.0000 0.0000 0.4957  6 O 1.93-2.01
Ti: 0.5000 0.5000 0.9957  6 O 1.93-2.01
Cr: 0.0000 0.0000 0.1669  6 O 2.02-2.03
Cr: 0.5000 0.5000 0.6669  6 O 2.02-2.03
Sb: 0.0000 0.0000 0.8333  6 O 2.00-2.02
Sb: 0.5000 0.5000 0.3333  6 O 2.00-2.02
O: 0.6925 0.3075 0.1649  1 Sb 2.00, 1 Ti 2.01, 1 Cr 2.03
O: 0.3075 0.6925 0.1649  1 Sb 2.00, 1 Ti 2.01, 1 Cr 2.03
O: 0.8075 0.8075 0.6649  1 Sb 2.00, 1 Ti 2.01, 1 Cr 2.03
O: 0.1925 0.1925 0.6649  1 Sb 2.00, 1 Ti 2.01, 1 Cr 2.03
O: 0.6966 0.3034 0.4991  1 Sb 2.00, 1 Ti 2.01, 1 Cr 2.02
O: 0.3034 0.6966 0.4991  1 Sb 2.00, 1 Ti 2.01, 1 Cr 2.02
O: 0.8034 0.8034 0.9991  1 Sb 2.00, 1 Ti 2.01, 1 Cr 2.02
O: 0.1966 0.1966 0.9991  1 Sb 2.00, 1 Ti 2.01, 1 Cr 2.02
O: 0.6940 0.3060 0.8381  1 Ti 1.93, 1 Sb 2.02, 1 Cr 2.03
O: 0.3060 0.6940 0.8381  1 Ti 1.93, 1 Sb 2.02, 1 Cr 2.03
O: 0.8060 0.8060 0.3381  1 Ti 1.93, 1 Sb 2.02, 1 Cr 2.03
O: 0.1940 0.1940 0.3381  1 Ti 1.93, 1 Sb 2.02, 1 Cr 2.03

Summary:
The value obtained for the final energy is -136.53 eV for the cell shown. The space-group type is P4_2nm, No. 102. For the magnetic moment, the calculation gives 3.00 μB/f.u.


Here is crystalline Tl2Cr2SbO6 at its relaxed geometry from Alexandria. Energies are from GGA+U.

Lattice parameters (Å, degrees): 5.3105 5.3105 8.1603 102.76 102.76 119.28
With the nearest neighbours (Å) after each atom.
Sites, in units of the cell vectors:
Tl: 0.8281 0.1719 0.0000  3 Tl 3.04-3.15, 4 O 3.05-3.09
Tl: 0.1719 0.8281 0.0000  3 Tl 3.04-3.15, 4 O 3.05-3.09
Cr: 0.3333 0.6667 0.5000  6 O 2.04-2.06
Cr: 0.6667 0.3333 0.5000  6 O 2.04-2.06
Sb: 0.0000 0.0000 0.5000  6 O 2.04
O: 0.7623 0.7623 0.6382  1 Sb 2.04, 2 Cr 2.05
O: 0.0909 0.4242 0.6374  1 Sb 2.04, 2 Cr 2.04-2.06
O: 0.2377 0.2377 0.3618  1 Sb 2.04, 2 Cr 2.05
O: 0.4242 0.0909 0.6374  1 Sb 2.04, 2 Cr 2.04-2.06
O: 0.9091 0.5758 0.3626  1 Sb 2.04, 2 Cr 2.04-2.06
O: 0.5758 0.9091 0.3626  1 Sb 2.04, 2 Cr 2.04-2.06

Summary:
The value obtained for the final energy is -69.16 eV for the cell shown. The space-group type is C2/m, No. 12. For the magnetic moment, the calculation gives 6.02 μB/f.u.


Here is crystalline TlCr2SbO8 at its relaxed geometry from Alexandria. Energies are from GGA+U.

Lattice parameters (Å, degrees): 5.4385 5.4385 8.2675 87.24 87.24 64.65
With the nearest neighbours (Å) after each atom.
Sites, in units of the cell vectors:
Tl: 0.0000 0.0000 0.5000  6 O 2.94-2.99
Cr: 0.6298 0.6298 0.2145  4 O 1.62-1.70
Cr: 0.3702 0.3702 0.7855  4 O 1.62-1.70
Sb: 0.0000 0.0000 0.0000  6 O 2.20-2.23
O: 0.7135 0.2332 0.8051  1 Cr 1.70
O: 0.7646 0.7646 0.0683  1 Cr 1.68
O: 0.6953 0.6953 0.3930  1 Cr 1.62
O: 0.3047 0.3047 0.6070  1 Cr 1.62
O: 0.2354 0.2354 0.9317  1 Cr 1.68
O: 0.2332 0.7135 0.8051  1 Cr 1.70
O: 0.7668 0.2865 0.1949  1 Cr 1.70
O: 0.2865 0.7668 0.1949  1 Cr 1.70

Summary:
The value obtained for the final energy is -75.50 eV for the cell shown. The space-group type is C2/m, No. 12. For the magnetic moment, the calculation gives 0.00 μB/f.u.


Here is crystalline Tl3CrSb2O9 at its relaxed geometry from Alexandria. Energies are from GGA+U.

Lattice parameters (Å, degrees): 5.6948 5.6948 7.0014 90.00 90.00 120.00
With the nearest neighbours (Å) after each atom.
Sites, in units of the cell vectors:
Tl: 0.3333 0.6667 0.6520  12 O 2.78-2.94
Tl: 0.0000 0.0000 0.0000  12 O 2.84-2.85
Tl: 0.6667 0.3333 0.3480  12 O 2.78-2.94
Cr: 0.0000 0.0000 0.5000  6 O 2.03
Sb: 0.3333 0.6667 0.1709  6 O 1.99-2.03
Sb: 0.6667 0.3333 0.8291  6 O 1.99-2.03
O: 0.8329 0.1671 0.6688  1 Sb 1.99, 1 Cr 2.03
O: 0.8329 0.6658 0.6688  1 Sb 1.99, 1 Cr 2.03
O: 0.3342 0.1671 0.6688  1 Sb 1.99, 1 Cr 2.03
O: 0.6658 0.8329 0.3312  1 Sb 1.99, 1 Cr 2.03
O: 0.1671 0.3342 0.3312  1 Sb 1.99, 1 Cr 2.03
O: 0.1671 0.8329 0.3312  1 Sb 1.99, 1 Cr 2.03
O: 0.5000 0.0000 0.0000  2 Sb 2.03
O: 0.0000 0.5000 0.0000  2 Sb 2.03
O: 0.5000 0.5000 0.0000  2 Sb 2.03

Summary:
The value obtained for the final energy is -83.04 eV for the cell shown. The space-group type is P-3m1, No. 164. For the magnetic moment, the calculation gives 2.20 μB/f.u.


Here is crystalline Tl2CrSbO6 at its relaxed geometry from Alexandria. Energies are from GGA+U.

Lattice parameters (Å, degrees): 5.6426 5.6744 5.6425 59.87 60.28 59.84
With the nearest neighbours (Å) after each atom.
Sites, in units of the cell vectors:
Tl: 0.5662 0.5754 0.3015  5 O 2.44-2.56
Tl: 0.0661 0.0570 0.8016  5 O 2.44-2.56
Cr: 0.8162 0.8162 0.5515  6 O 2.05
Sb: 0.3162 0.3162 0.0515  6 O 2.02-2.03
O: 0.5641 0.1471 0.2999  1 Sb 2.02, 1 Cr 2.05
O: 0.1114 0.0239 0.3475  1 Sb 2.03, 1 Cr 2.05
O: 0.0217 0.6108 0.2540  1 Sb 2.03, 1 Cr 2.05
O: 0.5210 0.6083 0.7555  1 Sb 2.03, 1 Cr 2.05
O: 0.6106 0.0215 0.8490  1 Sb 2.03, 1 Cr 2.05
O: 0.0683 0.4852 0.8031  1 Sb 2.02, 1 Cr 2.05

Summary:
The value obtained for the final energy is -57.12 eV for the cell shown. The space-group type is P-1, No. 2. For the magnetic moment, the calculation gives 2.68 μB/f.u.